Entry from Alexandria via LeMat-Bulk: a crystal of LaSbTe2 relaxed with PBEsol (SCAN).

Cell: 4.2892 4.2892 10.0763 Å, 77.71 77.71 60.00°
Sites, in units of the cell vectors:
Sb: 0.0000 0.0000 0.0000
Te: 0.8998 0.8998 0.3005
Te: 0.1002 0.1002 0.6995
La: 0.5000 0.5000 0.5000

Summary:
For the density, the calculation gives 5505 kg/m3. The energy relative to the elements, uncorrected is -0.668 eV per atom. As for the space group: R-3m (166). The calculation puts the density of states at the Fermi level at 0.316 states/eV/atom. The value obtained for the total energy is -39.385 eV/atom.